[1]
This record from Alexandria describes a geometry-optimized Cu2SnPb2 structure. The functional is PBE-GGA.

Cell: 3.5184 3.5184 18.9388 Å, 90.00 90.00 90.00°
Space group I4/mmm (No. 139)
Unique sites:
Cu: 0.0000 0.5000 0.2500 (multiplicity 4)
Sn: 0.0000 0.0000 0.0000 (multiplicity 2)
Pb: 0.0000 0.0000 0.3743 (multiplicity 4)

Output
**DOS(E_F)**: 4.6 states/eV/cell
**Energy relative to the lowest polymorph listed for this composition**: 2.6 kJ/mol of atoms
**DFT formation energy**: 0.18 eV per atom
**ρ**: 9.4 g cm⁻³
**Spin magnetization**: 0.00 μB/f.u.
**E**: -3.74 eV/atom

[2]
This record from Alexandria describes a geometry-optimized CuSnPb2 structure. The functional is PBE-GGA.

Cell: 5.3249 5.3249 17.2864 Å, 90.00 90.00 90.00°
Space group I-42d (No. 122)
Unique sites:
Cu: 0.0000 0.0000 0.0000 (multiplicity 4)
Sn: 0.0000 0.0000 0.5000 (multiplicity 4)
Pb: 0.1848 0.2500 0.1250 (multiplicity 8)

Output
**DOS(E_F)**: 9.2 states/eV/cell
**DFT formation energy**: 0.33 eV per atom
**ρ**: 8.1 g cm⁻³
**Spin magnetization**: 0.00 μB/f.u.
**E**: -3.55 eV/atom

[3]
This record from Alexandria describes a geometry-optimized CuSnPb structure. The functional is PBE-GGA.

Cell: 6.6542 6.6542 6.6542 Å, 90.00 90.00 90.00°
Space group F-43m (No. 216)
Unique sites:
Cu: 0.0000 0.0000 0.0000 (multiplicity 4)
Sn: 0.2500 0.2500 0.7500 (multiplicity 4)
Pb: 0.2500 0.2500 0.2500 (multiplicity 4)

Output
**DOS(E_F)**: 6.0 states/eV/cell
**Energy relative to the lowest polymorph listed for this composition**: 0.0 kJ/mol of atoms
**DFT formation energy**: 0.11 eV per atom
**ρ**: 8.8 g cm⁻³
**Spin magnetization**: 0.00 μB/f.u.
**E**: -3.83 eV/atom